Below is an optimized crystal structure of GaOsPbSe2, with properties calculated at the GGA-PBE level.

Structure (extended XYZ):
```
5
Lattice="-4.0907 -1.0678 2.1857 0.5212 -5.6322 -1.7760 2.3963 -1.0333 3.9801" Properties=species:S:1:pos:R:3 pbc="T T T"
Pb 0.2606 -2.8161 -0.8880
Os 0.0000 0.0000 0.0000
Ga -0.5866 -3.8666 2.1949
Se 1.1982 -0.5166 1.9901
Se -2.0454 -0.5339 1.0929
```

Computed properties:
D(E_F) = 5.8 states/eV/cell
Raw total energy = -0.3294 Ry/atom
Formation energy without anion corrections = 0.5048 eV per atom

***

Below is an optimized crystal structure of SrGaOs2Pb, with properties calculated at the GGA-PBE level.

Structure (extended XYZ):
```
5
Lattice="5.0205 0.0000 0.0000 0.0000 5.8711 0.0000 0.0000 0.0000 5.0205" Properties=species:S:1:pos:R:3 pbc="T T T"
Pb 0.0000 2.9355 0.0000
Sr 0.0000 0.0000 0.0000
Os 0.0000 0.0000 2.5102
Os 2.5102 0.0000 0.0000
Ga 2.5102 2.9355 2.5102
```

Computed properties:
D(E_F) = 8.1 states/eV/cell
Raw total energy = -0.2584 Ry/atom
Energy of formation from the pure elements = 2660 meV/atom

***

Below is an optimized crystal structure of TiGaOsPb2, with properties calculated at the GGA-PBE level.

Structure (extended XYZ):
```
5
Lattice="5.4498 0.0000 0.0000 0.0000 4.5672 0.0000 0.0000 0.0000 5.4498" Properties=species:S:1:pos:R:3 pbc="T T T"
Pb 0.0000 0.0000 2.7249
Pb 2.7249 0.0000 0.0000
Os 0.0000 2.2836 0.0000
Ga 2.7249 2.2836 2.7249
Ti 0.0000 0.0000 0.0000
```

Computed properties:
D(E_F) = 3.8 states/eV/cell
Raw total energy = -0.3704 Ry/atom
Energy of formation from the pure elements = 874 meV/atom

***

Below is an optimized crystal structure of Ga2OsPd2, with properties calculated at the GGA-PBE level.

Structure (extended XYZ):
```
10
Lattice="7.3071 0.0000 0.0000 0.0000 7.3071 0.0000 0.0000 0.0000 2.7977" Properties=species:S:1:pos:R:3 pbc="T T T"
Os 0.0000 0.0000 0.0000
Os 3.6536 3.6536 0.0000
Ga 2.5118 6.1653 0.0000
Ga 6.1653 4.7953 0.0000
Ga 4.7953 1.1418 0.0000
Ga 1.1418 2.5118 0.0000
Pd 1.0430 4.6965 1.3989
Pd 4.6965 6.2641 1.3989
Pd 6.2641 2.6106 1.3989
Pd 2.6106 1.0430 1.3989
```

Computed properties:
D(E_F) = 6.3 states/eV/cell
Raw total energy = -0.4140 Ry/atom
Energy of formation from the pure elements = -99 meV/atom

***

Below is an optimized crystal structure of Ga6OsPd, with properties calculated at the GGA-PBE level.

Structure (extended XYZ):
```
8
Lattice="-5.0797 1.8128 0.3142 -0.0028 -3.6830 -3.9527 0.0407 -3.5755 4.6538" Properties=species:S:1:pos:R:3 pbc="T T T"
Ga -1.1921 -3.0457 2.5046
Ga -2.5643 -0.2889 0.7127
Ga -3.8498 -2.4000 -1.4894
Ga -4.4583 -3.0126 1.9673
Ga -2.4776 -5.1568 0.3025
Ga -0.5835 -2.4331 -0.9520
Os -2.5209 -2.7229 0.5076
Pd 0.0000 0.0000 0.0000
```

Computed properties:
D(E_F) = 3.0 states/eV/cell
Raw total energy = -0.3177 Ry/atom
Energy of formation from the pure elements = 1 meV/atom

***

Below is an optimized crystal structure of PmGa4OsPd2, with properties calculated at the GGA-PBE level.

Structure (extended XYZ):
```
8
Lattice="-1.3631 3.3744 -2.2655 -4.1946 0.8376 -0.2845 -1.3307 6.4780 6.3936" Properties=species:S:1:pos:R:3 pbc="T T T"
Pm 0.0000 0.0000 0.0000
Ga -3.2887 6.8570 4.0804
Ga -5.3472 6.2581 0.3712
Ga -1.5411 4.4318 3.4725
Ga -3.5997 3.8329 -0.2367
Os -3.4442 5.3450 1.9218
Pd -5.1867 7.8186 2.5989
Pd -1.7016 2.8713 1.2448
```

Computed properties:
D(E_F) = 4.7 states/eV/cell
Raw total energy = -0.3893 Ry/atom
Energy of formation from the pure elements = -487 meV/atom

***

Below is an optimized crystal structure of GaSnOs2Pd, with properties calculated at the GGA-PBE level.

Structure (extended XYZ):
```
5
Lattice="-2.3147 -0.4085 4.2721 -2.0259 -3.7696 -1.4581 3.6937 -2.6608 1.7469" Properties=species:S:1:pos:R:3 pbc="T T T"
Ga -1.0129 -1.8848 -0.7291
Os 1.8469 -1.3304 0.8735
Os -1.1573 -0.2042 2.1360
Sn -0.3234 -3.4195 2.2804
Pd 0.0000 0.0000 0.0000
```

Computed properties:
D(E_F) = 5.7 states/eV/cell
Raw total energy = -0.3937 Ry/atom
Energy of formation from the pure elements = 1580 meV/atom

***

Below is an optimized crystal structure of TaGaOsPd, with properties calculated at the GGA-PBE level.

Structure (extended XYZ):
```
4
Lattice="4.4568 0.0000 0.0000 2.2284 3.8597 0.0000 2.2284 1.2866 3.6389" Properties=species:S:1:pos:R:3 pbc="T T T"
Os 6.6852 3.8597 2.7292
Ga 4.4568 2.5731 1.8195
Pd 2.2284 1.2866 0.9097
Ta 0.0000 0.0000 0.0000
```

Computed properties:
D(E_F) = 2.9 states/eV/cell
Raw total energy = -0.5934 Ry/atom
Energy of formation from the pure elements = -248 meV/atom

***

Below is an optimized crystal structure of TiGaOsPd, with properties calculated at the GGA-PBE level.

Structure (extended XYZ):
```
4
Lattice="-2.6828 -3.3611 -0.8257 1.6559 -3.9438 -0.9384 -0.3643 -3.2714 2.8882" Properties=species:S:1:pos:R:3 pbc="T T T"
Os 0.0000 0.0000 0.0000
Ga -1.0434 -7.9323 0.8430
Pd -0.6956 -5.2882 0.5620
Ti -0.3478 -2.6441 0.2810
```

Computed properties:
D(E_F) = 3.0 states/eV/cell
Raw total energy = -0.5375 Ry/atom
Energy of formation from the pure elements = -477 meV/atom

***

Below is an optimized crystal structure of Pm3Ga3Os, with properties calculated at the GGA-PBE level.

Structure (extended XYZ):
```
14
Lattice="-2.2164 1.3932 -3.2909 2.6935 -1.4819 -5.1280 -7.5969 -11.8145 -2.5719" Properties=species:S:1:pos:R:3 pbc="T T T"
Pm -4.9414 -7.0356 -5.0240
Pm -2.1784 -4.8676 -5.9669
Pm -1.7383 -2.8118 -2.7063
Pm -5.3815 -9.0914 -8.2846
Pm -7.0328 -10.7896 -5.2046
Pm -0.0869 -1.1136 -5.7863
Ga -3.8423 -6.3379 -8.1555
Ga -3.2775 -5.5653 -2.8354
Ga -4.9319 -12.0838 -7.1674
Ga -2.1878 0.1806 -3.8235
Ga -1.6590 -2.5962 -8.0419
Ga -5.4608 -9.3069 -2.9489
Os -4.3819 -3.5584 -3.9287
Os -2.7378 -8.3448 -7.0622
```

Computed properties:
D(E_F) = 13.0 states/eV/cell
Raw total energy = -0.3982 Ry/atom
Energy of formation from the pure elements = -481 meV/atom

***

Below is an optimized crystal structure of Pm3Ga9Os2, with properties calculated at the GGA-PBE level.

Structure (extended XYZ):
```
14
Lattice="-3.1494 -2.9568 -0.3374 2.3018 -6.1868 4.9102 -4.1276 0.4108 7.1049" Properties=species:S:1:pos:R:3 pbc="T T T"
Pm 0.0000 0.0000 0.0000
Pm -2.7544 -3.7981 3.3486
Pm -2.2207 -4.9348 8.3291
Ga -0.9129 -2.8880 6.0075
Ga -2.7112 -7.7397 9.6652
Ga -2.2639 -0.9932 2.0125
Ga -4.4920 -5.9123 10.2731
Ga -0.4831 -2.8205 1.4046
Ga -2.4977 -7.6386 6.7861
Ga -2.4774 -1.0943 4.8916
Ga -5.2856 -4.7777 7.7378
Ga 0.3105 -3.9552 3.9399
Os -3.6134 -3.2111 6.2232
Os -1.3617 -5.5217 5.4545
```

Computed properties:
D(E_F) = 3.5 states/eV/cell
Raw total energy = -0.3705 Ry/atom
Energy of formation from the pure elements = -473 meV/atom

***

Below is an optimized crystal structure of Pm2GaOs, with properties calculated at the GGA-PBE level.

Structure (extended XYZ):
```
4
Lattice="3.5644 0.0000 0.0000 0.0000 3.5644 0.0000 0.0000 0.0000 7.3241" Properties=species:S:1:pos:R:3 pbc="T T T"
Os 1.7822 1.7822 0.0000
Ga 1.7822 1.7822 3.6620
Pm 0.0000 0.0000 5.6223
Pm 0.0000 0.0000 1.7018
```

Computed properties:
D(E_F) = 1.8 states/eV/cell
Raw total energy = -0.4543 Ry/atom
Energy of formation from the pure elements = -241 meV/atom

***

Below is an optimized crystal structure of Pm2Ga3Os, with properties calculated at the GGA-PBE level.

Structure (extended XYZ):
```
6
Lattice="-1.1752 5.2137 1.5583 -4.1073 -3.4376 -1.5182 1.7334 -3.6705 3.6273" Properties=species:S:1:pos:R:3 pbc="T T T"
Pm -2.2030 2.1686 1.0373
Pm -1.3461 -4.0630 2.6301
Ga -1.7746 -0.9472 1.8337
Ga 0.8667 -1.8353 1.8137
Ga 0.2791 0.7716 2.5928
Os 0.0000 0.0000 0.0000
```

Computed properties:
Polymorph energy (0 for the lowest one) = 0.090 eV per atom
D(E_F) = 4.7 states/eV/cell
Raw total energy = -0.3982 Ry/atom
Energy of formation from the pure elements = -449 meV/atom

***

Below is an optimized crystal structure of Pm8Ga2Os, with properties calculated at the GGA-PBE level.

Structure (extended XYZ):
```
11
Lattice="-3.1157 1.8569 -3.6422 4.5843 -1.7613 -4.8196 -3.6952 -8.3385 2.5370" Properties=species:S:1:pos:R:3 pbc="T T T"
Pm -1.7249 -7.0624 -2.1250
Pm 1.2139 -3.0502 -6.2205
Pm -1.4635 -4.6680 -4.7550
Pm -5.5800 -6.5206 -2.1781
Pm -0.7631 -3.5750 -1.1698
Pm -3.4405 -5.1928 0.2957
Pm -0.5017 -1.1806 -3.7998
Pm 3.3534 -1.7224 -3.7467
Ga -3.5966 -4.1430 -2.6626
Ga 1.3700 -4.0999 -3.2622
Os -1.5579 0.9284 -1.8211
```

Computed properties:
Polymorph energy (0 for the lowest one) = 0.000 eV per atom
D(E_F) = 9.2 states/eV/cell
Raw total energy = -0.3864 Ry/atom
Energy of formation from the pure elements = -231 meV/atom

***

Below is an optimized crystal structure of Pm2Ga5Os, with properties calculated at the GGA-PBE level.

Structure (extended XYZ):
```
8
Lattice="-0.7518 -2.7299 -5.5427 5.3570 2.8158 1.4538 0.5405 -3.4146 5.1757" Properties=species:S:1:pos:R:3 pbc="T T T"
Pm 1.3495 -3.2200 1.4522
Pm 3.7577 -0.1048 -0.4087
Ga 3.8429 -1.5889 2.3132
Ga 3.9332 1.0358 2.4700
Ga 1.8758 -1.6256 4.0599
Ga 1.2142 -1.7308 -1.3260
Ga 1.5734 -0.1598 1.7687
Os 5.8493 -0.5939 6.5752
```

Computed properties:
D(E_F) = 4.2 states/eV/cell
Raw total energy = -0.3575 Ry/atom
Energy of formation from the pure elements = -380 meV/atom

***

Below is an optimized crystal structure of PmGa4Os, with properties calculated at the GGA-PBE level.

Structure (extended XYZ):
```
12
Lattice="4.1386 0.0000 0.0000 0.0000 7.0672 0.0000 0.0000 0.0000 7.7407" Properties=species:S:1:pos:R:3 pbc="T T T"
Pm 0.0000 4.4704 5.8055
Pm 0.0000 2.5968 1.9352
Ga 0.0000 0.0000 3.8704
Ga 0.0000 0.0000 0.0000
Ga 2.0693 6.7699 5.8055
Ga 2.0693 0.2973 1.9352
Ga 2.0693 4.7784 0.5192
Ga 2.0693 2.2888 7.2215
Ga 2.0693 4.7784 3.3512
Ga 2.0693 2.2888 4.3895
Os 0.0000 1.4237 5.8055
Os 0.0000 5.6435 1.9352
```

Computed properties:
D(E_F) = 3.7 states/eV/cell
Raw total energy = -0.3758 Ry/atom
Energy of formation from the pure elements = -432 meV/atom

***

Below is an optimized crystal structure of Pm4Ga12Os, with properties calculated at the GGA-PBE level.

Structure (extended XYZ):
```
17
Lattice="7.1412 0.0000 -2.5248 -3.5706 6.1844 -2.5248 0.0000 0.0000 7.5743" Properties=species:S:1:pos:R:3 pbc="T T T"
Pm 0.0000 0.0000 3.7872
Pm 3.5706 0.0000 -1.2624
Pm 1.7853 3.0922 1.2624
Pm -1.7853 3.0922 -1.2624
Ga -1.0362 1.7947 1.4654
Ga -2.5344 4.3897 3.5842
Ga 2.5344 4.3897 -3.5842
Ga 1.0362 1.7947 -1.4654
Ga 2.0724 0.0000 1.4654
Ga 5.0688 0.0000 3.5842
Ga 2.6779 1.5461 3.7872
Ga 0.8926 4.6383 -1.2624
Ga 4.4632 1.5461 1.2624
Ga -0.8926 4.6383 1.2624
Ga 3.5706 3.0922 -1.2624
Ga 0.0000 3.0922 3.7872
Os 0.0000 0.0000 0.0000
```

Computed properties:
D(E_F) = 13.1 states/eV/cell
Raw total energy = -0.3283 Ry/atom
Energy of formation from the pure elements = -552 meV/atom

***

Below is an optimized crystal structure of Pm2GaOs, with properties calculated at the GGA-PBE level.

Structure (extended XYZ):
```
8
Lattice="-3.6288 0.7765 -1.9147 -2.6935 -4.0522 3.4615 -0.1082 7.7807 3.3605" Properties=species:S:1:pos:R:3 pbc="T T T"
Pm -3.3701 2.8865 0.7274
Pm -3.0605 1.6185 4.1799
Pm -3.0327 -2.5521 2.4359
Pm -3.3978 7.0571 2.4713
Ga -4.4949 0.1853 1.7638
Ga -1.9356 4.3197 3.1435
Os -1.9189 0.4261 1.5327
Os -4.5117 4.0789 3.3745
```

Computed properties:
D(E_F) = 7.4 states/eV/cell
Raw total energy = -0.4607 Ry/atom
Energy of formation from the pure elements = -329 meV/atom

***

Below is an optimized crystal structure of Pm4Ga16Os3, with properties calculated at the GGA-PBE level.

Structure (extended XYZ):
```
23
Lattice="-2.7114 -2.0066 5.2021 5.5389 -1.6336 2.2568 1.1809 10.3922 4.6242" Properties=species:S:1:pos:R:3 pbc="T T T"
Pm -0.4030 7.3807 6.3316
Pm 2.9976 1.1914 2.0220
Pm 3.7222 7.5672 4.8590
Pm -1.1275 1.0049 3.4947
Ga 0.9207 8.1024 3.6053
Ga 0.8115 -1.0448 2.1408
Ga 2.3616 6.5211 7.4410
Ga -0.3436 -1.8996 4.3568
Ga 1.6468 0.2309 4.6421
Ga 2.0159 -2.5955 5.3182
Ga 0.2602 2.2898 1.0189
Ga 2.8590 3.6695 8.4732
Ga -0.2251 2.0653 6.2469
Ga 1.4257 5.5148 4.6922
Ga 3.9571 2.2544 4.7539
Ga 3.1710 -1.7407 3.1021
Ga 2.5826 1.2372 7.3909
Ga 0.0513 4.4976 7.3292
Ga 1.1493 3.0825 3.6099
Ga 4.2335 4.6867 5.8362
Os 3.3599 4.3793 3.4405
Os 0.0000 0.0000 0.0000
Os -0.7653 4.1928 4.9131
```

Computed properties:
D(E_F) = 12.1 states/eV/cell
Raw total energy = -0.3579 Ry/atom
Energy of formation from the pure elements = -473 meV/atom

***

Below is an optimized crystal structure of Pm8GaOs2, with properties calculated at the GGA-PBE level.

Structure (extended XYZ):
```
11
Lattice="5.5564 0.1768 -0.8538 -1.7500 7.2009 -2.9510 0.1582 -0.0062 7.9748" Properties=species:S:1:pos:R:3 pbc="T T T"
Os 1.6159 5.0565 0.0536
Os 2.3307 2.3564 4.1469
Ga 0.0046 0.0153 0.0093
Pm 2.6874 2.4781 -0.9323
Pm 3.1873 0.5900 1.9301
Pm 0.5089 2.7565 1.7294
Pm -0.3108 1.7704 5.3425
Pm -1.2928 5.4793 -0.2802
Pm 3.4423 4.6485 2.4651
Pm 0.7691 6.8295 2.2759
Pm 1.2683 4.9439 5.1344
```

Computed properties:
D(E_F) = 11.1 states/eV/cell
Raw total energy = -0.4316 Ry/atom
Energy of formation from the pure elements = -101 meV/atom

***

Below is an optimized crystal structure of Pm4Ga3Os, with properties calculated at the GGA-PBE level.

Structure (extended XYZ):
```
8
Lattice="4.2767 0.0000 0.0000 0.0000 4.2879 0.0000 0.0000 0.0000 10.9127" Properties=species:S:1:pos:R:3 pbc="T T T"
Pm 2.1383 2.1439 3.7753
Pm 0.0000 2.1439 9.4909
Pm 0.0000 0.0000 1.5248
Pm 2.1383 0.0000 7.0250
Ga 0.0000 2.1439 6.2437
Ga 0.0000 0.0000 4.6758
Ga 2.1383 0.0000 10.1871
Os 2.1383 2.1439 0.7285
```

Computed properties:
D(E_F) = 7.1 states/eV/cell
Raw total energy = -0.3950 Ry/atom
Energy of formation from the pure elements = -461 meV/atom

***

Below is an optimized crystal structure of Pm2Ga8Os, with properties calculated at the GGA-PBE level.

Structure (extended XYZ):
```
11
Lattice="4.3571 0.0000 0.0000 0.0000 4.3571 0.0000 0.0000 0.0000 11.4199" Properties=species:S:1:pos:R:3 pbc="T T T"
Pm 0.0000 0.0000 3.4927
Pm 0.0000 0.0000 7.9272
Ga 0.0000 2.1785 5.7099
Ga 2.1785 0.0000 5.7099
Ga 2.1785 2.1785 3.5083
Ga 2.1785 2.1785 7.9115
Ga 0.0000 2.1785 1.3529
Ga 2.1785 0.0000 1.3529
Ga 0.0000 2.1785 10.0669
Ga 2.1785 0.0000 10.0669
Os 0.0000 0.0000 0.0000
```

Computed properties:
D(E_F) = 4.6 states/eV/cell
Raw total energy = -0.3333 Ry/atom
Energy of formation from the pure elements = -448 meV/atom

***

Below is an optimized crystal structure of Pm2Ga3Os, with properties calculated at the GGA-PBE level.

Structure (extended XYZ):
```
12
Lattice="5.5873 0.0000 0.0000 -2.7937 4.8388 0.0000 0.0000 0.0000 8.7782" Properties=species:S:1:pos:R:3 pbc="T T T"
Pm 2.7937 1.6129 3.9564
Pm 0.0000 3.2259 4.8218
Pm 0.0000 3.2259 8.3455
Pm 2.7937 1.6129 0.4327
Ga 0.0000 1.5690 2.1945
Ga 1.3588 0.7845 6.5836
Ga 2.7937 3.2698 6.5836
Ga -1.4348 4.0543 2.1945
Ga 4.2285 0.7845 6.5836
Ga 1.4349 4.0543 2.1945
Os 0.0000 0.0000 4.3891
Os 0.0000 0.0000 0.0000
```

Computed properties:
Polymorph energy (0 for the lowest one) = 0.000 eV per atom
D(E_F) = 4.6 states/eV/cell
Raw total energy = -0.4048 Ry/atom
Energy of formation from the pure elements = -539 meV/atom